No. 1
DFT (PBE) results for a relaxed structure of TlBiRuN.

Lattice parameters (Å, degrees): 3.260 4.184 7.430 74.25 77.38 90.01
Element x y z (fractional)
Ru: 0.488 0.434 0.272
N: 0.048 0.529 0.151
Bi: 0.361 0.807 0.531
Tl: 0.679 0.129 0.906

Calculated total energy = -5.642 eV/atom
Space-group type = P1, No. 1
Formation energy without anion corrections = 0.320 eV per atom
M_tot = 0.00 μB per formula unit
Offset from the most stable computed form = 86 meV/atom

=====

No. 2
DFT (PBE) results for a relaxed structure of Cs3PPd2.

Lattice parameters (Å, degrees): 7.912 12.147 10.618 90.00 107.50 90.00
Element x y z (fractional)
Cs: 0.509 0.231 0.260
Cs: 0.557 0.380 0.884
Pd: 0.033 0.273 0.091
Cs: 0.991 0.731 0.240
Cs: 0.267 0.951 0.047
Pd: 0.967 0.727 0.909
Pd: 0.153 0.576 0.791
P: 0.549 0.039 0.597
Cs: 0.233 0.451 0.453
Cs: 0.009 0.269 0.760
P: 0.049 0.461 0.097
Cs: 0.943 0.880 0.616
Cs: 0.767 0.549 0.547
Cs: 0.733 0.049 0.953
Pd: 0.347 0.076 0.709
Pd: 0.653 0.924 0.291
Pd: 0.467 0.773 0.409
P: 0.951 0.539 0.903
Cs: 0.491 0.769 0.740
P: 0.451 0.961 0.403
Pd: 0.533 0.227 0.591
Cs: 0.057 0.120 0.384
Pd: 0.847 0.424 0.209
Cs: 0.443 0.620 0.116

Calculated total energy = -3.143 eV/atom
Space-group type = P2_1/c, No. 14
M_tot = 0.00 μB per formula unit

=====

No. 3
DFT (PBE) results for a relaxed structure of Ac4TlGa3.

Lattice parameters (Å, degrees): 4.837 4.447 12.077 90.00 90.00 90.00
Element x y z (fractional)
Ga: 0.500 0.000 0.920
Ac: 0.000 0.000 0.147
Tl: 0.500 0.500 0.072
Ga: 0.000 0.000 0.436
Ga: 0.000 0.500 0.566
Ac: 0.500 0.000 0.639
Ac: 0.500 0.500 0.369
Ac: 0.000 0.500 0.852

Calculated total energy = -3.941 eV/atom
Space-group type = Pmm2, No. 25
M_tot = 0.00 μB per formula unit

=====

No. 4
DFT (PBE) results for a relaxed structure of Th3AlRh12.

Lattice parameters (Å, degrees): 4.102 4.102 15.958 90.00 90.00 90.00
Element x y z (fractional)
Al: 0.000 0.000 0.000
Rh: 0.500 0.000 0.369
Rh: 0.000 0.500 0.631
Th: 0.000 0.000 0.761
Th: 0.000 0.000 0.500
Rh: 0.500 0.500 0.000
Rh: 0.000 0.500 0.369
Rh: 0.500 0.500 0.761
Rh: 0.500 0.000 0.894
Rh: 0.500 0.000 0.106
Rh: 0.000 0.500 0.106
Th: 0.000 0.000 0.239
Rh: 0.500 0.500 0.239
Rh: 0.500 0.000 0.631
Rh: 0.500 0.500 0.500
Rh: 0.000 0.500 0.894

Calculated total energy = -7.777 eV/atom
Space-group type = P4/mmm, No. 123
M_tot = 0.00 μB per formula unit

=====

No. 5
DFT (PBE) results for a relaxed structure of Ti2NbP2.

Lattice parameters (Å, degrees): 6.614 6.614 3.390 90.00 90.00 90.00
Element x y z (fractional)
P: 0.861 0.639 0.000
Nb: 0.000 0.000 0.000
P: 0.361 0.861 0.000
P: 0.639 0.139 0.000
Nb: 0.500 0.500 0.000
P: 0.139 0.361 0.000
Ti: 0.657 0.843 0.500
Ti: 0.843 0.343 0.500
Ti: 0.343 0.157 0.500
Ti: 0.157 0.657 0.500

Calculated total energy = -8.364 eV/atom
Space-group type = P4/mbm, No. 127
M_tot = 0.00 μB per formula unit
Offset from the most stable computed form = 0 meV/atom

=====

No. 6
DFT (PBE) results for a relaxed structure of TlHg3.

Lattice parameters (Å, degrees): 6.144 6.144 6.144 135.15 135.15 65.30
Element x y z (fractional)
Tl: 0.000 0.000 0.000
Hg: 0.500 0.500 0.000
Hg: 0.750 0.250 0.500
Hg: 0.250 0.750 0.500

Calculated total energy = -0.843 eV/atom
Space-group type = I4/mmm, No. 139
M_tot = 0.00 μB per formula unit

=====

No. 7
DFT (PBE) results for a relaxed structure of LaCo2Ru.

Lattice parameters (Å, degrees): 4.657 4.657 4.657 125.18 125.18 81.24
Each line ends with the local moment (μB).
Element x y z (fractional)
Co: 0.500 0.500 0.000  -1.24
Co: 0.000 0.000 0.000  -1.24
La: 0.250 0.750 0.500  0.12
Ru: 0.750 0.250 0.500  -0.95

Calculated total energy = -6.757 eV/atom
Space-group type = I4/mmm, No. 139
M_tot = 3.20 μB per formula unit

=====

No. 8
DFT (PBE) results for a relaxed structure of Dy2Ni12As7.

Lattice parameters (Å, degrees): 3.838 9.405 9.405 120.00 90.00 90.00
Element x y z (fractional)
Ni: 0.768 0.258 0.140
As: 0.500 0.000 0.000
As: 0.746 0.593 0.887
Ni: 0.232 0.140 0.882
Ni: 0.251 0.623 0.056
As: 0.254 0.407 0.113
Dy: 0.752 0.667 0.333
Ni: 0.251 0.433 0.377
Ni: 0.749 0.567 0.623
Ni: 0.768 0.860 0.118
Ni: 0.749 0.377 0.944
Dy: 0.248 0.333 0.667
As: 0.746 0.294 0.407
As: 0.746 0.113 0.706
Ni: 0.768 0.882 0.742
Ni: 0.232 0.742 0.860
Ni: 0.251 0.944 0.567
Ni: 0.232 0.118 0.258
As: 0.254 0.706 0.593
Ni: 0.749 0.056 0.433
As: 0.254 0.887 0.294

Calculated total energy = -5.821 eV/atom
Space-group type = P-3, No. 147
M_tot = 0.00 μB per formula unit
Offset from the most stable computed form = 8 meV/atom

=====

No. 9
DFT (PBE) results for a relaxed structure of MnCu2OsW.

Lattice parameters (Å, degrees): 4.283 4.334 4.283 90.00 90.00 90.00
Each line ends with the local moment (μB).
Element x y z (fractional)
Os: 0.500 0.500 0.500  0.17
Cu: 0.000 0.000 0.500  0.16
Cu: 0.500 0.000 0.000  0.08
Mn: 0.000 0.000 0.000  1.61
W: 0.000 0.500 0.000  -0.47

Calculated total energy = -6.612 eV/atom
Space-group type = P4/mmm, No. 123
M_tot = 1.53 μB per formula unit

=====

No. 10
DFT (PBE) results for a relaxed structure of ErNp2S4.

Lattice parameters (Å, degrees): 3.785 6.748 13.103 90.00 90.00 106.29
Each line ends with the local moment (μB).
Element x y z (fractional)
Np: 0.866 0.733 0.569  3.99
Np: 0.134 0.267 0.431  3.99
Np: 0.134 0.267 0.069  3.99
S: 0.500 0.000 0.000  -0.11
S: 0.028 0.057 0.250  -0.05
Er: 0.378 0.755 0.250  0.11
Er: 0.622 0.245 0.750  0.11
S: 0.221 0.442 0.625  -0.07
S: 0.221 0.442 0.875  -0.07
S: 0.500 0.000 0.500  -0.11
S: 0.779 0.558 0.375  -0.07
S: 0.779 0.558 0.125  -0.07
S: 0.972 0.943 0.750  -0.05
Np: 0.866 0.733 0.931  3.99

Calculated total energy = -8.258 eV/atom
Space-group type = Cmcm, No. 63
Formation energy without anion corrections = -1.550 eV per atom
M_tot = 8.68 μB per formula unit
Offset from the most stable computed form = 0 meV/atom

=====

No. 11
DFT (PBE) results for a relaxed structure of ThMgScMn.

Lattice parameters (Å, degrees): 5.049 5.049 5.049 60.00 60.00 60.00
Each line ends with the local moment (μB).
Element x y z (fractional)
Mg: 0.250 0.250 0.250  0.00
Sc: 0.000 0.000 0.000  -0.39
Th: 0.500 0.500 0.500  -0.20
Mn: 0.750 0.750 0.750  3.02

Calculated total energy = -5.985 eV/atom
Space-group type = F-43m, No. 216
M_tot = 2.21 μB per formula unit

=====

No. 12
DFT (PBE) results for a relaxed structure of SnGePt3.

Lattice parameters (Å, degrees): 4.723 4.723 4.723 90.00 90.00 90.00
Element x y z (fractional)
Pt: 0.000 0.500 0.000
Ge: 0.000 0.000 0.000
Sn: 0.500 0.500 0.500
Pt: 0.500 0.000 0.000
Pt: 0.000 0.000 0.500

Calculated total energy = -5.132 eV/atom
Space-group type = Pm-3m, No. 221
M_tot = 0.00 μB per formula unit
Offset from the most stable computed form = 598 meV/atom

=====

No. 13
DFT (PBE) results for a relaxed structure of CoNi7Sb2Pt2.

Lattice parameters (Å, degrees): 3.492 3.492 14.067 82.74 82.74 90.00
Each line ends with the local moment (μB).
Element x y z (fractional)
Pt: 0.364 0.364 0.266  0.07
Ni: 0.269 0.269 0.461  0.01
Pt: 0.636 0.636 0.734  0.07
Ni: 0.064 0.564 0.874  0.70
Ni: 0.436 0.936 0.126  0.70
Co: 0.000 0.000 0.000  1.89
Ni: 0.500 0.500 0.000  0.67
Ni: 0.564 0.064 0.874  0.70
Sb: 0.817 0.817 0.361  0.00
Ni: 0.731 0.731 0.539  0.01
Sb: 0.183 0.183 0.639  0.00
Ni: 0.936 0.436 0.126  0.70

Calculated total energy = -5.676 eV/atom
Space-group type = C2/m, No. 12
Formation energy without anion corrections = -0.018 eV per atom
M_tot = 5.33 μB per formula unit

=====

No. 14
DFT (PBE) results for a relaxed structure of AcPrCdAu.

Lattice parameters (Å, degrees): 3.896 3.896 7.824 90.00 90.00 90.00
Element x y z (fractional)
Cd: 0.000 0.000 0.840
Ac: 0.500 0.500 0.121
Pr: 0.500 0.500 0.592
Au: 0.000 0.000 0.375

Calculated total energy = -3.796 eV/atom
Space-group type = P4mm, No. 99
M_tot = 0.00 μB per formula unit
Offset from the most stable computed form = 0 meV/atom

=====

No. 15
DFT (PBE) results for a relaxed structure of InSi2SnBi.

Lattice parameters (Å, degrees): 5.079 5.883 5.079 90.00 90.00 90.00
Element x y z (fractional)
In: 0.000 0.000 0.000
Si: 0.500 0.000 0.000
Bi: 0.000 0.500 0.000
Sn: 0.500 0.500 0.500
Si: 0.000 0.000 0.500

Calculated total energy = -3.316 eV/atom
Space-group type = P4/mmm, No. 123
Formation energy without anion corrections = 0.978 eV per atom
M_tot = 0.00 μB per formula unit

=====

No. 16
DFT (PBE) results for a relaxed structure of Pr5Sb4P.

Lattice parameters (Å, degrees): 4.498 4.498 16.169 98.00 98.00 90.00
Element x y z (fractional)
P: 0.000 0.000 0.000
Sb: 0.802 0.802 0.605
Pr: 0.500 0.500 0.000
Pr: 0.300 0.300 0.600
Pr: 0.907 0.907 0.813
Pr: 0.700 0.700 0.400
Sb: 0.401 0.401 0.802
Pr: 0.093 0.093 0.187
Sb: 0.599 0.599 0.198
Sb: 0.198 0.198 0.395

Calculated total energy = -5.801 eV/atom
Space-group type = I4/mmm, No. 139
Formation energy without anion corrections = -1.221 eV per atom
M_tot = 0.00 μB per formula unit
Offset from the most stable computed form = 5 meV/atom

=====

No. 17
DFT (PBE) results for a relaxed structure of NdHo2In.

Lattice parameters (Å, degrees): 3.607 3.607 9.203 90.00 90.00 90.00
Element x y z (fractional)
Ho: 0.000 0.000 0.778
Ho: 0.000 0.000 0.222
Nd: 0.500 0.500 0.500
In: 0.500 0.500 0.000

Calculated total energy = -4.404 eV/atom
Space-group type = P4/mmm, No. 123
M_tot = 0.00 μB per formula unit
Offset from the most stable computed form = 23 meV/atom

=====

No. 18
DFT (PBE) results for a relaxed structure of PuThSbAs.

Lattice parameters (Å, degrees): 5.303 5.303 5.249 59.66 59.66 60.00
Each line ends with the local moment (μB).
Element x y z (fractional)
Th: 0.443 0.443 0.671  0.23
Sb: 0.694 0.694 0.917  -0.09
As: 0.194 0.194 0.419  -0.10
Pu: 0.945 0.945 0.164  5.40

Calculated total energy = -8.407 eV/atom
Space-group type = R3m, No. 160
Formation energy without anion corrections = -0.776 eV per atom
M_tot = 5.91 μB per formula unit

=====

No. 19
DFT (PBE) results for a relaxed structure of Hg3BS.

Lattice parameters (Å, degrees): 4.683 4.683 4.683 90.00 90.00 90.00
Element x y z (fractional)
Hg: 0.500 0.000 0.000
B: 0.000 0.000 0.000
S: 0.500 0.500 0.500
Hg: 0.000 0.500 0.000
Hg: 0.000 0.000 0.500

Calculated total energy = -1.720 eV/atom
Space-group type = Pm-3m, No. 221
Formation energy without anion corrections = 0.622 eV per atom
M_tot = 0.00 μB per formula unit
Offset from the most stable computed form = 0 meV/atom

=====

No. 20
DFT (PBE) results for a relaxed structure of LiSmB12.

Lattice parameters (Å, degrees): 4.131 4.131 8.260 90.00 90.00 90.00
Element x y z (fractional)
B: 0.500 0.201 0.249
Li: 0.000 0.000 0.500
B: 0.500 0.201 0.751
B: 0.500 0.500 0.399
B: 0.500 0.500 0.100
B: 0.799 0.500 0.751
Sm: 0.000 0.000 0.000
B: 0.500 0.799 0.249
B: 0.201 0.500 0.751
B: 0.500 0.500 0.900
B: 0.799 0.500 0.249
B: 0.500 0.500 0.601
B: 0.201 0.500 0.249
B: 0.500 0.799 0.751

Calculated total energy = -6.484 eV/atom
Space-group type = P4/mmm, No. 123
M_tot = 0.00 μB per formula unit